# 1
## TiNbW3 (GGA-PBE)

Data for a relaxed structure of TiNbW3.

Lattice parameters (Å, degrees): 5.2785 9.5334 9.5334 45.35 87.93 87.93
Fractional positions:
W (0.5924, 0.7581, 0.9758)
W (0.9207, 0.8035, 0.6504)
W (0.0766, 0.5858, 0.0659)
W (0.5793, 0.3496, 0.1965)
W (0.9076, 0.0242, 0.2419)
W (0.4234, 0.9341, 0.4142)
W (0.4207, 0.6504, 0.8035)
W (0.0793, 0.1965, 0.3496)
W (0.4076, 0.2419, 0.0242)
W (0.9234, 0.4142, 0.9341)
W (0.0924, 0.9758, 0.7581)
W (0.5766, 0.0659, 0.5858)
Ti (0.2500, 0.8473, 0.1527)
Ti (0.7500, 0.7975, 0.2025)
Ti (0.2500, 0.2025, 0.7975)
Ti (0.7500, 0.1527, 0.8473)
Nb (0.1312, 0.6041, 0.5551)
Nb (0.6312, 0.5551, 0.6041)
Nb (0.3688, 0.4449, 0.3959)
Nb (0.8688, 0.3959, 0.4449)

Output
The calculation puts the energy above the most stable polymorph in this dataset at 0.000 eV/atom. Its formation energy is 300 meV per atom. As for the density of states at the Fermi level: 4.29 states/eV/f.u.

---

# 2
## NaZnGaPb (GGA-PBE)

Data for a relaxed structure of NaZnGaPb.

Lattice parameters (Å, degrees): 5.1000 5.1000 5.1000 60.00 60.00 60.00
Fractional positions:
Ga (0.2500, 0.2500, 0.2500)
Pb (0.0000, 0.0000, 0.0000)
Zn (0.7500, 0.7500, 0.7500)
Na (0.5000, 0.5000, 0.5000)

Output
Its formation energy is 43 meV per atom. As for the density of states at the Fermi level: 1.38 states/eV/f.u.

---

# 3
## BeGaW2 (GGA-PBE)

Data for a relaxed structure of BeGaW2.

Lattice parameters (Å, degrees): 4.2802 4.2802 4.2802 60.00 60.00 60.00
Fractional positions:
W (0.7500, 0.7500, 0.7500)
W (0.2500, 0.2500, 0.2500)
Ga (0.5000, 0.5000, 0.5000)
Be (0.0000, 0.0000, 0.0000)

Output
The calculation puts the energy above the most stable polymorph in this dataset at 0.000 eV/atom. Its formation energy is 458 meV per atom. As for the density of states at the Fermi level: 3.42 states/eV/f.u.

---

# 4
## Na3NiTe (GGA-PBE)

Data for a relaxed structure of Na3NiTe.

Lattice parameters (Å, degrees): 5.8437 5.8437 5.8437 90.00 90.00 90.00
Site moments in Bohr magnetons follow the coordinates.
Fractional positions:
Na (0.5000, 0.0000, 0.0000)  0.00
Na (0.0000, 0.0000, 0.5000)  0.00
Na (0.0000, 0.5000, 0.0000)  0.00
Te (0.0000, 0.0000, 0.0000)  0.00
Ni (0.5000, 0.5000, 0.5000)  1.01

Output
The calculation puts the energy above the most stable polymorph in this dataset at 0.000 eV/atom. As for the density of states at the Fermi level: 7.81 states/eV/f.u. The value obtained for the uncorrected formation energy is 165 meV/atom.

---

# 5
## LaTiCu (GGA-PBE)

Data for a relaxed structure of LaTiCu.

Lattice parameters (Å, degrees): 4.5969 4.5969 4.5969 60.00 60.00 60.00
Fractional positions:
Ti (0.5000, 0.5000, 0.5000)
Cu (0.7500, 0.7500, 0.7500)
La (0.2500, 0.2500, 0.2500)

Output
The calculation puts the energy above the most stable polymorph in this dataset at 0.616 eV/atom. Its formation energy is 629 meV per atom. As for the density of states at the Fermi level: 2.82 states/eV/f.u.

---

# 6
## Sc2ZnSe (GGA-PBE)

Data for a relaxed structure of Sc2ZnSe.

Lattice parameters (Å, degrees): 4.8016 4.8016 3.3512 90.00 90.00 90.00
Site moments in Bohr magnetons follow the coordinates.
Fractional positions:
Sc (0.5000, 0.5000, 0.0000)  0.17
Sc (0.0000, 0.0000, 0.0000)  0.17
Se (0.5000, 0.0000, 0.5000)  0.00
Zn (0.0000, 0.5000, 0.5000)  0.01

Output
The calculation puts the energy above the most stable polymorph in this dataset at 0.316 eV/atom. As for the density of states at the Fermi level: 4.11 states/eV/f.u. The value obtained for the uncorrected formation energy is -658 meV/atom.

---

# 7
## K2NaCoCl6 (GGA-PBE)

Data for a relaxed structure of K2NaCoCl6.

Lattice parameters (Å, degrees): 7.0795 7.0750 10.0083 90.00 90.00 90.00
Site moments in Bohr magnetons follow the coordinates.
Fractional positions:
Cl (0.2266, 0.5228, 0.0000)  0.00
Cl (0.5000, 0.2503, 0.2732)  0.00
Cl (0.2267, 0.9765, 0.0000)  0.00
Cl (0.7734, 0.5228, 0.0000)  0.00
Cl (0.2733, 0.0235, 0.5000)  0.00
Cl (0.7266, 0.4772, 0.5000)  0.00
Cl (0.5000, 0.2503, 0.7268)  0.00
Cl (0.0000, 0.7497, 0.7732)  0.00
Cl (0.7267, 0.0235, 0.5000)  0.00
Cl (0.7733, 0.9765, 0.0000)  0.00
Cl (0.0000, 0.7497, 0.2268)  0.00
Cl (0.2734, 0.4772, 0.5000)  0.00
K (0.0000, 0.2497, 0.2496)  0.00
K (0.5000, 0.7503, 0.7496)  0.00
K (0.5000, 0.7503, 0.2504)  0.00
K (0.0000, 0.2497, 0.7504)  0.00
Co (0.0000, 0.7496, 0.0000)  -0.13
Co (0.5000, 0.2504, 0.5000)  -0.13
Na (0.0000, 0.7503, 0.5000)  0.00
Na (0.5000, 0.2497, 0.0000)  0.00

Output
The value obtained for the uncorrected formation energy is -1343 meV/atom.

---

# 8
## Pr2Y2Mg (GGA-PBE)

Data for a relaxed structure of Pr2Y2Mg.

Lattice parameters (Å, degrees): 5.2790 5.2790 12.9900 101.72 101.72 90.00
Fractional positions:
Pr (0.0783, 0.5783, 0.1566)
Pr (0.4217, 0.9217, 0.8434)
Pr (0.3283, 0.3283, 0.6566)
Pr (0.6717, 0.6717, 0.3434)
Mg (0.2500, 0.7500, 0.5000)
Mg (0.5000, 0.5000, 0.0000)
Y (0.1773, 0.1773, 0.3545)
Y (0.5727, 0.0727, 0.1455)
Y (0.9273, 0.4273, 0.8545)
Y (0.8227, 0.8227, 0.6455)

Output
The calculation puts the energy above the most stable polymorph in this dataset at 0.199 eV/atom. Its formation energy is 170 meV per atom. As for the density of states at the Fermi level: 7.72 states/eV/f.u.

---

# 9
## Sr2Ga2Re (GGA-PBE)

Data for a relaxed structure of Sr2Ga2Re.

Lattice parameters (Å, degrees): 3.6625 3.6625 10.4341 79.89 79.89 90.00
Site moments in Bohr magnetons follow the coordinates.
Fractional positions:
Sr (0.4029, 0.4029, 0.1942)  0.00
Sr (0.5971, 0.5971, 0.8058)  0.00
Re (0.0000, 0.0000, 0.0000)  1.50
Ga (0.2500, 0.7500, 0.5000)  0.00
Ga (0.7500, 0.2500, 0.5000)  0.00

Output
The calculation puts the energy above the most stable polymorph in this dataset at 0.000 eV/atom. Its formation energy is 577 meV per atom. As for the density of states at the Fermi level: 3.29 states/eV/f.u.

---

# 10
## HfMgAg (GGA-PBE)

Data for a relaxed structure of HfMgAg.

Lattice parameters (Å, degrees): 2.9346 4.8361 4.8361 120.00 90.00 90.00
Fractional positions:
Mg (0.4986, 0.3333, 0.6667)
Hf (0.9995, 0.0000, 0.0000)
Ag (0.5019, 0.6667, 0.3333)

Output
Its formation energy is 71 meV per atom. As for the density of states at the Fermi level: 1.99 states/eV/f.u.

---

# 11
## PmY2Ho6Tm3 (GGA-PBE)

Data for a relaxed structure of PmY2Ho6Tm3.

Lattice parameters (Å, degrees): 6.1164 6.1164 11.7122 94.98 94.98 119.93
Fractional positions:
Tm (0.1670, 0.8330, 0.5000)
Tm (0.8330, 0.1670, 0.5000)
Tm (0.5000, 0.5000, 0.5000)
Ho (0.4182, 0.0851, 0.2534)
Ho (0.9149, 0.5818, 0.7466)
Ho (0.0851, 0.4182, 0.2534)
Ho (0.5818, 0.9149, 0.7466)
Ho (0.7519, 0.7519, 0.2533)
Ho (0.2481, 0.2481, 0.7467)
Y (0.3333, 0.6667, 0.0000)
Y (0.6667, 0.3333, 0.0000)
Pm (0.0000, 0.0000, 0.0000)

Output
Its formation energy is 23 meV per atom. As for the density of states at the Fermi level: 16.54 states/eV/f.u.

---

# 12
## MnIrOs2 (GGA-PBE)

Data for a relaxed structure of MnIrOs2.

Lattice parameters (Å, degrees): 5.1452 5.1452 6.9397 68.24 68.24 90.00
Fractional positions:
Os (0.8750, 0.8498, 0.7500)
Os (0.1502, 0.6250, 0.2500)
Os (0.3750, 0.4002, 0.7500)
Os (0.5998, 0.1250, 0.2500)
Mn (0.5000, 0.5000, 0.0000)
Mn (0.2500, 0.7500, 0.5000)
Ir (0.7500, 0.2500, 0.5000)
Ir (0.0000, 0.0000, 0.0000)

Output
The calculation puts the energy above the most stable polymorph in this dataset at 1.197 eV/atom. Its formation energy is 1194 meV per atom. As for the density of states at the Fermi level: 4.20 states/eV/f.u.

---

# 13
## CaTh2Mg (GGA-PBE)

Data for a relaxed structure of CaTh2Mg.

Lattice parameters (Å, degrees): 3.4050 3.4050 12.9121 82.42 82.42 60.00
Fractional positions:
Th (0.9094, 0.9094, 0.2717)
Th (0.0906, 0.0906, 0.7283)
Mg (0.5000, 0.5000, 0.5000)
Ca (0.0000, 0.0000, 0.0000)

Output
Its formation energy is 249 meV per atom. As for the density of states at the Fermi level: 3.24 states/eV/f.u.

---

# 14
## In2ReTe2 (GGA-PBE)

Data for a relaxed structure of In2ReTe2.

Lattice parameters (Å, degrees): 7.4217 7.4217 4.5634 90.00 90.00 90.00
Site moments in Bohr magnetons follow the coordinates.
Fractional positions:
In (0.3620, 0.8620, 0.0000)  -0.02
In (0.8620, 0.6380, 0.0000)  -0.02
In (0.1380, 0.3620, 0.0000)  -0.02
In (0.6380, 0.1380, 0.0000)  -0.02
Re (0.5000, 0.5000, 0.0000)  1.32
Re (0.0000, 0.0000, 0.0000)  1.32
Te (0.1885, 0.6885, 0.5000)  -0.06
Te (0.6885, 0.8115, 0.5000)  -0.05
Te (0.8115, 0.3115, 0.5000)  -0.06
Te (0.3115, 0.1885, 0.5000)  -0.05

Output
The calculation puts the energy above the most stable polymorph in this dataset at 0.000 eV/atom. As for the density of states at the Fermi level: 3.64 states/eV/f.u. The value obtained for the uncorrected formation energy is 842 meV/atom.

---

| no. | raw total energy (eV per atom) |
| --- | --- |
| 1 | -11.065 |
| 2 | -2.289 |
| 3 | -7.707 |
| 4 | -2.411 |
| 5 | -5.010 |
| 6 | -5.013 |
| 7 | -3.513 |
| 8 | -4.647 |
| 9 | -3.796 |
| 10 | -4.729 |
| 11 | -4.857 |
| 12 | -8.928 |
| 13 | -4.360 |
| 14 | -4.000 |